Pm2Al9Pd3 | PBE | relaxed

Summary:
Mass density   5.7 g cm⁻³
Total moment   0.00 μB per cell
E_form   -0.698 eV/atom

Cell: 13.3988 7.7039 10.5724 Å, 90.00 114.86 90.00°
Last column: nearest neighbours and their distance in Å.
Space group C2/c (No. 15)
Asymmetric unit:
Pm  0.1691  0.0841  0.2501 (multiplicity 8)  11 Al 3.08-3.21
Al  0.0000  0.3753  0.2500 (multiplicity 4)  2 Pd 2.60, 4 Al 2.75-2.82
Al  0.0594  0.0853  0.9272 (multiplicity 8)  3 Pd 2.63-2.66, 4 Al 2.81-2.94
Al  0.1013  0.4162  0.0552 (multiplicity 8)  3 Pd 2.63-2.68, 5 Al 2.78-2.92
Al  0.1024  0.3161  0.7481 (multiplicity 8)  2 Pd 2.60-2.61, 6 Al 2.75-2.90
Al  0.2246  0.4179  0.4289 (multiplicity 8)  3 Pd 2.65-2.66, 5 Al 2.81-2.94
Pd  0.0849  0.2435  0.4999 (multiplicity 8)  8 Al 2.60-2.68
Pd  0.2500  0.2500  0.0000 (multiplicity 4)  8 Al 2.61-2.66